Record 1
Material: LaPm5Mg6
Method: DFT, PBE
State: optimized geometry

Results
ΔE_f (eV per atom): -0.109
DOS at the Fermi energy (states/eV per atom): 1.114
E_tot (eV per atom): -3.30
V (Å³ per atom): 29.238
ρ (Mg/m³): 4.78

a b c (Å): 5.485 7.775 8.672
angles (deg): 90.00 71.57 89.99
Fractional positions:
Mg 0.831 0.747 0.337
Mg 0.831 0.253 0.337
Mg 0.500 0.252 0.000
Mg 0.500 0.748 0.000
Mg 0.169 0.747 0.663
Mg 0.169 0.253 0.663
La 0.000 0.000 0.000
Pm 0.665 0.500 0.670
Pm 0.333 0.000 0.335
Pm 0.000 0.500 0.000
Pm 0.667 0.000 0.665
Pm 0.335 0.500 0.330

---

Record 2
Material: BaCeTlCl6
Method: DFT, PBE
State: optimized geometry

Results
DOS at the Fermi energy (states/eV per atom): 0.914
E_tot (eV per atom): -4.41
E_form (uncorrected) (eV per atom): -2.04
V (Å³ per atom): 38.111
ρ (Mg/m³): 3.36

a b c (Å): 7.816 7.816 12.966
angles (deg): 90.00 90.00 120.00
Site moments in Bohr magnetons follow the coordinates.
Fractional positions:
Ba 0.333 0.667 0.250  0.00
Ba 0.667 0.333 0.750  0.00
Ce 0.667 0.333 0.250  0.98
Ce 0.333 0.667 0.750  0.98
Tl 0.000 0.000 0.000  0.00
Tl 0.000 0.000 0.500  0.00
Cl 0.655 0.624 0.132  0.00
Cl 0.969 0.345 0.132  0.00
Cl 0.345 0.969 0.632  0.00
Cl 0.031 0.655 0.868  0.00
Cl 0.376 0.345 0.368  0.00
Cl 0.969 0.624 0.368  0.00
Cl 0.624 0.969 0.868  0.00
Cl 0.655 0.031 0.368  0.00
Cl 0.031 0.376 0.632  0.00
Cl 0.376 0.031 0.132  0.00
Cl 0.624 0.655 0.632  0.00
Cl 0.345 0.376 0.868  0.00

---

Record 3
Material: CaSc2GeBr
Method: DFT, PBE
State: optimized geometry

Results
DOS at the Fermi energy (states/eV per atom): 1.384
E_tot (eV per atom): -4.45
E_form (uncorrected) (eV per atom): -0.26
V (Å³ per atom): 30.901
ρ (Mg/m³): 3.04

a b c (Å): 5.165 5.792 5.165
angles (deg): 90.00 90.00 90.00
Site moments in Bohr magnetons follow the coordinates.
Fractional positions:
Sc 0.000 0.000 0.500  0.33
Sc 0.500 0.000 0.000  0.34
Ge 0.000 0.000 0.000  -0.02
Ca 0.000 0.500 0.000  0.04
Br 0.500 0.500 0.500  0.00

---

Record 4
Material: BeOs
Method: DFT, PBE
State: optimized geometry

Results
ΔE_f (eV per atom): 0.351
DOS at the Fermi energy (states/eV per atom): 0.514
E_tot (eV per atom): -7.13
V (Å³ per atom): 11.908
ρ (Mg/m³): 13.89

a b c (Å): 6.640 6.640 4.321
angles (deg): 90.00 90.00 90.00
Fractional positions:
Be 0.417 0.717 0.000
Be 0.583 0.283 0.000
Be 0.283 0.417 0.000
Be 0.717 0.583 0.000
Be 0.917 0.217 0.500
Be 0.083 0.783 0.500
Be 0.783 0.917 0.500
Be 0.217 0.083 0.500
Os 0.313 0.084 0.000
Os 0.687 0.916 0.000
Os 0.916 0.313 0.000
Os 0.084 0.687 0.000
Os 0.813 0.584 0.500
Os 0.187 0.416 0.500
Os 0.416 0.813 0.500
Os 0.584 0.187 0.500